1.
First-principles (PBE-GGA) data for crystalline Tl2CdHg at its relaxed geometry, as listed in the Alexandria database.

Calculated values
Uncorrected energy (eV per formula unit): -5.86
Relative energy among the computed polymorphs (meV/atom): 8.9
Calculated formation energy (eV per atom): 0.021
Symmetry: Pmmm

Cell lengths 4.794, 4.951, 4.722 Å; angles 90.00, 90.00, 90.00 degrees
Fractional coordinates of all 4 atoms:
Tl 0.500 0.500 0.000
Tl 0.000 0.000 0.000
Hg 0.000 0.500 0.500
Cd 0.500 0.000 0.500

2.
First-principles (PBE-GGA) data for crystalline TlCd2Hg8 at its relaxed geometry, as listed in the Alexandria database.

Calculated values
Uncorrected energy (eV per formula unit): -6.40
Relative energy among the computed polymorphs (meV/atom): 0.0
Calculated formation energy (eV per atom): 0.019
Symmetry: C2/m

Cell lengths 3.597, 8.684, 11.923 Å; angles 126.91, 98.68, 90.00 degrees
Fractional coordinates of all 11 atoms:
Hg 0.405 0.520 0.810
Hg 0.595 0.480 0.190
Hg 0.317 0.073 0.635
Hg 0.856 0.806 0.713
Hg 0.683 0.927 0.365
Hg 0.144 0.194 0.287
Hg 0.958 0.269 0.915
Hg 0.042 0.731 0.085
Cd 0.224 0.630 0.448
Cd 0.776 0.370 0.552
Tl 0.500 0.000 0.000